Entry 1:
A plane-wave DFT calculation with PBE was carried out for a geometry-optimized Th4Sb5Te structure.

As for the formation energy without anion corrections: -0.662 eV/atom. Its raw total energy is -6.006 eV per atom.

The structure belongs to space group C2/m (No. 12); the cell edges are 16.525, 5.026 and 8.071 Å and the angles 90.00°, 90.50° and 90.00°. The inequivalent atoms are Th at (0.006, 0.000, 0.252), Th at (0.205, 0.500, 0.743), Sb at (0.000, 0.500, 0.000), Sb at (0.157, 0.000, 0.514), Sb at (0.157, 0.000, 0.987) and Te at (0.000, 0.500, 0.500).

***

Entry 2:
A plane-wave DFT calculation with PBE was carried out for a geometry-optimized Tb3ScZn2 structure.

For the formation energy, the calculation gives -0.2252 eV per atom. Its raw total energy is -4.020 eV per atom.

The structure belongs to space group Pmc2_1 (No. 26); the cell edges are 5.025, 9.055 and 6.488 Å and the angles 90.00°, 90.00° and 90.00°. The inequivalent atoms are Tb at (0.000, 0.051, 0.000), Tb at (0.000, 0.337, 0.332), Tb at (0.500, 0.183, 0.683), Sc at (0.500, 0.448, 0.027), Zn at (0.000, 0.348, 0.800) and Zn at (0.500, 0.156, 0.225).

***

Entry 3:
A plane-wave DFT calculation with PBE was carried out for a geometry-optimized NaAgCl2 structure.

As for the formation energy without anion corrections: -0.962 eV/atom. Its raw total energy is -2.928 eV per atom.

The structure belongs to space group Fm-3m (No. 225); the cell edges are 6.916, 6.916 and 6.916 Å and the angles 90.00°, 90.00° and 90.00°. The inequivalent atoms are Na at (0.000, 0.000, 0.000), Ag at (0.000, 0.000, 0.500) and Cl at (0.250, 0.250, 0.250).

***

Entry 4:
A plane-wave DFT calculation with PBE was carried out for a geometry-optimized HgTe2Rh structure.

As for the formation energy without anion corrections: -0.214 eV/atom. Its raw total energy is -3.698 eV per atom.

The structure belongs to space group P2/m (No. 10); the cell edges are 5.459, 3.997 and 5.593 Å and the angles 90.00°, 118.33° and 90.00°. The inequivalent atoms are Hg at (0.000, 0.000, 0.000), Te at (0.326, 0.500, 0.651) and Rh at (0.500, 0.000, 0.000).

***

Entry 5:
A plane-wave DFT calculation with PBE was carried out for a geometry-optimized LaBe2Pt structure.

For the formation energy, the calculation gives 0.3022 eV per atom. Its raw total energy is -4.303 eV per atom.

The structure belongs to space group P4/mmm (No. 123); the cell edges are 4.654, 4.654 and 3.029 Å and the angles 90.00°, 90.00° and 90.00°. The inequivalent atoms are La at (0.000, 0.000, 0.000), Be at (0.000, 0.500, 0.500) and Pt at (0.500, 0.500, 0.000).

***

Entry 6:
A plane-wave DFT calculation with PBE was carried out for a geometry-optimized SmYHo6Er2 structure.

For the formation energy, the calculation gives 0.1200 eV per atom. Its raw total energy is -4.658 eV per atom.

The structure belongs to space group C2/c (No. 15); the cell edges are 9.013, 14.988 and 9.504 Å and the angles 90.00°, 97.22° and 90.00°. The inequivalent atoms are Sm at (0.000, 0.025, 0.250), Y at (0.000, 0.409, 0.750), Ho at (0.063, 0.186, 0.944), Ho at (0.101, 0.392, 0.119), Ho at (0.206, 0.227, 0.318) and Er at (0.249, 0.447, 0.455).

***

Entry 7:
A plane-wave DFT calculation with PBE was carried out for a geometry-optimized Na2Ag3Sn5 structure.

For the formation energy, the calculation gives -0.0757 eV per atom. Its raw total energy is -3.196 eV per atom.

The structure belongs to space group Ibam (No. 72); the cell edges are 12.752, 12.802 and 6.402 Å and the angles 90.00°, 90.00° and 90.00°. The inequivalent atoms are Na at (0.135, 0.237, 0.000), Ag at (0.000, 0.500, 0.250), Ag at (0.132, 0.139, 0.500), Sn at (0.000, 0.000, 0.250), Sn at (0.107, 0.350, 0.500) and Sn at (0.241, 0.500, 0.250).

***

Entry 8:
A plane-wave DFT calculation with PBE was carried out for a geometry-optimized Y2SnBi structure.

For the formation energy, the calculation gives -0.8137 eV per atom. Its raw total energy is -6.017 eV per atom.

The structure belongs to space group Cmcm (No. 63); the cell edges are 4.524, 24.091 and 4.373 Å and the angles 90.00°, 90.00° and 90.00°. The inequivalent atoms are Y at (0.000, 0.061, 0.250), Y at (0.000, 0.320, 0.250), Sn at (0.000, 0.454, 0.250) and Bi at (0.000, 0.189, 0.250).